(1)
Material: Hf3SnH
Method: DFT, PBE
State: relaxed

Results
DOS(E_F)   5.25 states/eV per cell
Total moment   0.00 Bohr magnetons per cell
Space group   Pm-3m

Lattice parameters (Å, degrees): 4.4394 4.4394 4.4394 90.00 90.00 90.00
Fractional positions:
Hf (0.0000, 0.0000, 0.5000)
Hf (0.0000, 0.5000, 0.0000)
Hf (0.5000, 0.0000, 0.0000)
Sn (0.5000, 0.5000, 0.5000)
H (0.0000, 0.0000, 0.0000)

(2)
Material: Hf3SnH
Method: DFT, PBE
State: relaxed

Results
DOS(E_F)   12.00 states/eV per cell
Total moment   0.00 Bohr magnetons per cell
Space group   C2/c

Lattice parameters (Å, degrees): 8.0015 8.0015 6.1646 102.98 102.98 90.59
Fractional positions:
Hf (0.0143, 0.2314, 0.1874)
Hf (0.2314, 0.0143, 0.6874)
Hf (0.2344, 0.5163, 0.5712)
Hf (0.2447, 0.5013, 0.0689)
Hf (0.4837, 0.7656, 0.9288)
Hf (0.4987, 0.7553, 0.4311)
Hf (0.5013, 0.2447, 0.5689)
Hf (0.5163, 0.2344, 0.0712)
Hf (0.7553, 0.4987, 0.9311)
Hf (0.7656, 0.4837, 0.4288)
Hf (0.7686, 0.9857, 0.3126)
Hf (0.9857, 0.7686, 0.8126)
Sn (0.0154, 0.7236, 0.3081)
Sn (0.2764, 0.9846, 0.1919)
Sn (0.7236, 0.0154, 0.8081)
Sn (0.9846, 0.2764, 0.6919)
H (0.2319, 0.7681, 0.7500)
H (0.4952, 0.5048, 0.7500)
H (0.5048, 0.4952, 0.2500)
H (0.7681, 0.2319, 0.2500)

Referenced to the most stable arrangement, the calculated values in meV/atom are (1) 0; (2) 259.

(1)
Material: Hf3SnH3
Method: DFT, PBE
State: relaxed

Results
DOS(E_F)   5.50 states/eV per cell
Total moment   0.00 Bohr magnetons per cell
Space group   R-3

Lattice parameters (Å, degrees): 8.3030 8.3030 8.3030 39.09 39.09 39.09
Fractional positions:
Hf (0.0658, 0.7266, 0.3982)
Hf (0.2734, 0.6018, 0.9342)
Hf (0.3982, 0.0658, 0.7266)
Hf (0.6018, 0.9342, 0.2734)
Hf (0.7266, 0.3982, 0.0658)
Hf (0.9342, 0.2734, 0.6018)
Sn (0.1665, 0.1665, 0.1665)
Sn (0.8335, 0.8335, 0.8335)
H (0.0267, 0.3575, 0.6937)
H (0.3063, 0.9733, 0.6425)
H (0.3575, 0.6937, 0.0267)
H (0.6425, 0.3063, 0.9733)
H (0.6937, 0.0267, 0.3575)
H (0.9733, 0.6425, 0.3063)

(2)
Material: Hf3SnH3
Method: DFT, PBE
State: relaxed

Results
DOS(E_F)   7.28 states/eV per cell
Total moment   0.00 Bohr magnetons per cell
Space group   Pm-3n

Lattice parameters (Å, degrees): 5.7092 5.7092 5.7092 90.00 90.00 90.00
Fractional positions:
Hf (0.0000, 0.2500, 0.5000)
Hf (0.0000, 0.7500, 0.5000)
Hf (0.2500, 0.5000, 0.0000)
Hf (0.5000, 0.0000, 0.2500)
Hf (0.5000, 0.0000, 0.7500)
Hf (0.7500, 0.5000, 0.0000)
Sn (0.0000, 0.0000, 0.0000)
Sn (0.5000, 0.5000, 0.5000)
H (0.0000, 0.5000, 0.2500)
H (0.0000, 0.5000, 0.7500)
H (0.2500, 0.0000, 0.5000)
H (0.5000, 0.2500, 0.0000)
H (0.5000, 0.7500, 0.0000)
H (0.7500, 0.0000, 0.5000)

Referenced to the most stable arrangement, the calculated values in meV/atom are (1) 177; (2) 0.